Record 1
Here is a PBEsol-optimized structure of TaCrMo2 from the Alexandria database. Energies are from SCAN.

a b c (Å): 3.0943 3.0943 6.1966
angles (deg): 90.00 90.00 90.00
With the nearest neighbours (Å) after each atom.
Element x y z (fractional)
Mo: 0.0000 0.0000 0.9926  4 Cr 2.63, 4 Mo 2.68
Mo: 0.5000 0.5000 0.2426  4 Mo 2.68, 4 Ta 2.74
Ta: 0.0000 0.0000 0.5090  4 Cr 2.67, 4 Mo 2.74
Cr: 0.5000 0.5000 0.7558  4 Mo 2.63, 4 Ta 2.67

Values from the calculation:
**Distance to the lowest polymorph of the same formula**: 0.000 kcal/mol of atoms
**Energy of formation from the pure elements**: -0.053 eV/atom
**Total magnetic moment**: 0.2 μB per cell
**Energy**: -38.74 eV/atom
**Space-group type**: P4mm (99)
**D(E_F)**: 2.292 states/eV per cell

***

Record 2
Here is a PBEsol-optimized structure of TaCr4Mo from the Alexandria database. Energies are from SCAN.

a b c (Å): 4.8006 4.8006 4.8006
angles (deg): 60.00 60.00 60.00
With the nearest neighbours (Å) after each atom.
Element x y z (fractional)
Cr: 0.3750 0.3750 0.8749  6 Cr 2.40
Cr: 0.8749 0.3750 0.3750  6 Cr 2.40
Cr: 0.3750 0.8749 0.3750  6 Cr 2.40
Cr: 0.3750 0.3750 0.3750  6 Cr 2.40
Mo: 0.7500 0.7500 0.7500  12 Cr 2.81, 4 Ta 2.94
Ta: 0.0000 0.0000 0.0000  12 Cr 2.81, 4 Mo 2.94

Values from the calculation:
**Energy of formation from the pure elements**: 0.041 eV/atom
**Total magnetic moment**: 0.1 μB per cell
**Energy**: -29.13 eV/atom
**Space-group type**: F-43m (216)
**D(E_F)**: 7.917 states/eV per cell

***

Record 3
Here is a PBEsol-optimized structure of CrTcMo2 from the Alexandria database. Energies are from SCAN.

a b c (Å): 4.2954 4.2954 4.2954
angles (deg): 60.00 60.00 60.00
With the nearest neighbours (Å) after each atom.
Element x y z (fractional)
Tc: 0.2500 0.2500 0.2500  4 Cr 2.63, 4 Mo 2.63
Mo: 0.0000 0.0000 0.0000  4 Tc 2.63, 4 Mo 2.63
Mo: 0.7500 0.7500 0.7500  4 Mo 2.63, 4 Cr 2.63
Cr: 0.5000 0.5000 0.5000  4 Mo 2.63, 4 Tc 2.63

Values from the calculation:
**Distance to the lowest polymorph of the same formula**: 0.399 kcal/mol of atoms
**Energy of formation from the pure elements**: 0.053 eV/atom
**Total magnetic moment**: 0.8 μB per cell
**Energy**: -30.75 eV/atom
**Space-group type**: F-43m (216)
**D(E_F)**: 3.209 states/eV per cell

***

Record 4
Here is a PBEsol-optimized structure of CrTcMo from the Alexandria database. Energies are from SCAN.

a b c (Å): 2.9995 2.9995 4.9935
angles (deg): 107.48 107.48 90.00
With the nearest neighbours (Å) after each atom.
Element x y z (fractional)
Cr: 0.0014 0.0014 0.0029  4 Mo 2.56, 4 Tc 2.59
Mo: 0.6610 0.6610 0.3219  4 Cr 2.56, 4 Tc 2.66
Tc: 0.3376 0.3376 0.6752  4 Cr 2.59, 4 Mo 2.66

Values from the calculation:
**Energy of formation from the pure elements**: 0.048 eV/atom
**Total magnetic moment**: 0.0 μB per cell
**Energy**: -29.40 eV/atom
**Space-group type**: I4mm (107)
**D(E_F)**: 2.768 states/eV per cell

***

Record 5
Here is a PBEsol-optimized structure of CrTc2Mo from the Alexandria database. Energies are from SCAN.

a b c (Å): 2.9973 2.9973 6.0943
angles (deg): 90.00 90.00 90.00
With the nearest neighbours (Å) after each atom.
Element x y z (fractional)
Tc: 0.0000 0.0000 0.9910  4 Mo 2.61, 4 Tc 2.73
Tc: 0.5000 0.5000 0.2737  4 Cr 2.51, 4 Tc 2.73
Mo: 0.5000 0.5000 0.7414  4 Cr 2.60, 5 Tc 2.61-2.85
Cr: 0.0000 0.0000 0.4939  4 Tc 2.51, 4 Mo 2.60

Values from the calculation:
**Energy of formation from the pure elements**: 0.057 eV/atom
**Total magnetic moment**: 0.0 μB per cell
**Energy**: -30.79 eV/atom
**Space-group type**: P4mm (99)
**D(E_F)**: 3.678 states/eV per cell

***

Record 6
Here is a PBEsol-optimized structure of CrTcMo2 from the Alexandria database. Energies are from SCAN.

a b c (Å): 3.0373 4.3075 5.0338
angles (deg): 115.33 107.56 90.00
With the nearest neighbours (Å) after each atom.
Element x y z (fractional)
Mo: 0.7467 0.2467 0.4934  2 Mo 2.64, 4 Cr 2.64, 2 Tc 2.67
Mo: 0.9956 0.9956 0.9911  2 Cr 2.56, 2 Mo 2.64, 4 Tc 2.64
Tc: 0.5024 0.5024 0.0048  6 Mo 2.64-2.67, 2 Cr 2.65
Cr: 0.2553 0.7553 0.5107  6 Mo 2.56-2.64, 2 Tc 2.65

Values from the calculation:
**Distance to the lowest polymorph of the same formula**: 0.520 kcal/mol of atoms
**Energy of formation from the pure elements**: 0.058 eV/atom
**Total magnetic moment**: 0.3 μB per cell
**Energy**: -30.75 eV/atom
**Space-group type**: Imm2 (44)
**D(E_F)**: 3.080 states/eV per cell